Record 1
! YCr2Co2 GGA-PBE relaxed; values from VASP
&SYSTEM
  ibrav = 0, nat = 10, ntyp = 3
/
ATOMIC_SPECIES
Y 88.91 Y.upf
Cr 52.00 Cr.upf
Co 58.93 Co.upf
ATOMIC_POSITIONS angstrom
Y 0.000 0.000 0.000
Y 3.642 3.642 0.000
Cr 0.798 2.845 0.000
Cr 2.845 6.487 0.000
Cr 4.440 0.798 0.000
Cr 6.487 4.440 0.000
Co 1.257 4.899 1.309
Co 2.385 1.257 1.309
Co 4.899 6.027 1.309
Co 6.027 2.385 1.309
CELL_PARAMETERS angstrom
7.285 0.000 0.000
0.000 7.285 0.000
0.000 0.000 2.617
! N(E_F)	7.462	states/eV/f.u.
! ρ	7.43	g cm⁻³
! energy relative to the elements	1.5	eV per formula unit
! total DFT energy (no corrections)	-7.69	eV/atom

***

Record 2
! Y2CrCo GGA-PBE relaxed; values from VASP
&SYSTEM
  ibrav = 0, nat = 4, ntyp = 3
/
ATOMIC_SPECIES
Y 88.91 Y.upf
Cr 52.00 Cr.upf
Co 58.93 Co.upf
ATOMIC_POSITIONS angstrom
Y 0.000 0.000 0.000
Y 1.628 1.628 3.037
Cr 1.628 1.628 5.923
Co 0.000 0.000 4.940
CELL_PARAMETERS angstrom
3.257 0.000 0.000
0.000 3.257 0.000
0.000 0.000 7.986
! N(E_F)	4.567	states/eV/f.u.
! ρ	5.66	g cm⁻³
! energy relative to the elements	1.0	eV per formula unit
! total DFT energy (no corrections)	-7.16	eV/atom

***

Record 3
! Y2CrCo GGA-PBE relaxed; values from VASP
&SYSTEM
  ibrav = 0, nat = 4, ntyp = 3
/
ATOMIC_SPECIES
Y 88.91 Y.upf
Cr 52.00 Cr.upf
Co 58.93 Co.upf
ATOMIC_POSITIONS angstrom
Y 0.000 0.000 0.000
Y 1.904 0.000 3.008
Cr 1.904 0.000 6.186
Co 0.000 0.000 7.268
CELL_PARAMETERS angstrom
3.808 0.000 0.000
0.000 2.214 5.152
0.000 -2.214 5.152
! N(E_F)	5.593	states/eV/f.u.
! ρ	5.52	g cm⁻³
! energy relative to the elements	0.4	eV per formula unit
! total DFT energy (no corrections)	-7.32	eV/atom